Entry 1:
PaReIr | PBE-GGA | optimized geometry

Calculated values
The formation energy comes out at 0.2791 eV per atom. Its space group is No. 216. The total magnetization comes out at 0.0 μB/f.u.

Lattice parameters (Å, degrees): 4.503 4.503 4.503 60.00 60.00 60.00
Positions (direct):
Pa  0.750  0.750  0.750
Re  0.250  0.250  0.250
Ir  0.000  0.000  0.000

=====

Entry 2:
Dy2Tm | PBE-GGA | optimized geometry

Calculated values
The formation energy comes out at 2.5727 eV per atom. Its space group is No. 227. The total magnetization comes out at 4.5 μB/f.u.

Lattice parameters (Å, degrees): 9.874 9.874 9.874 60.00 60.00 60.00
Last column: magnetic moment on the atom in μB.
Positions (direct):
Dy  0.375  0.375  0.375  0.76
Dy  0.375  0.875  0.375  0.76
Dy  0.375  0.375  0.875  0.73
Tm  0.250  0.250  0.250  1.29
Tm  0.500  0.500  0.500  1.29
Dy  0.875  0.375  0.375  0.94

=====

Entry 3:
K2Cd2S3O12 | PBE-GGA | optimized geometry

Calculated values
Its space group is No. 198. The energy comes out at -421.26 eV per cell.

Lattice parameters (Å, degrees): 10.188 10.188 10.188 90.00 90.00 90.00
Positions (direct):
K  0.801  0.199  0.699
Cd  0.572  0.572  0.572
K  0.440  0.940  0.560
O  0.650  0.747  0.938
O  0.659  0.769  0.505
O  0.005  0.841  0.231
O  0.585  0.227  0.527
O  0.753  0.062  0.150
O  0.841  0.231  0.005
K  0.940  0.560  0.440
Cd  0.173  0.327  0.673
O  0.159  0.731  0.495
O  0.027  0.915  0.773
O  0.495  0.159  0.731
O  0.890  0.819  0.497
K  0.060  0.060  0.060
O  0.850  0.253  0.438
S  0.375  0.983  0.243
O  0.415  0.727  0.973
O  0.350  0.247  0.562
O  0.938  0.650  0.747
Cd  0.327  0.673  0.173
K  0.199  0.699  0.801
O  0.769  0.505  0.659
S  0.517  0.757  0.875
Cd  0.827  0.827  0.827
O  0.150  0.753  0.062
O  0.915  0.773  0.027
Cd  0.928  0.428  0.072
O  0.473  0.085  0.273
O  0.973  0.415  0.727
S  0.875  0.517  0.757
S  0.257  0.625  0.483
O  0.773  0.027  0.915
K  0.699  0.801  0.199
S  0.125  0.017  0.743
O  0.562  0.350  0.247
O  0.747  0.938  0.650
S  0.243  0.375  0.983
O  0.438  0.850  0.253
O  0.341  0.269  0.995
O  0.253  0.438  0.850
O  0.110  0.319  0.003
O  0.085  0.273  0.473
S  0.483  0.257  0.625
S  0.017  0.743  0.125
O  0.003  0.110  0.319
O  0.731  0.495  0.159
K  0.560  0.440  0.940
K  0.301  0.301  0.301
O  0.247  0.562  0.350
S  0.625  0.483  0.257
O  0.819  0.497  0.890
O  0.062  0.150  0.753
Cd  0.428  0.072  0.928
O  0.527  0.585  0.227
O  0.269  0.995  0.341
O  0.681  0.503  0.390
S  0.983  0.243  0.375
Cd  0.673  0.173  0.327
Cd  0.072  0.928  0.428
O  0.497  0.890  0.819
O  0.610  0.181  0.997
O  0.505  0.659  0.769
O  0.231  0.005  0.841
O  0.995  0.341  0.269
O  0.997  0.610  0.181
O  0.503  0.390  0.681
S  0.743  0.125  0.017
O  0.319  0.003  0.110
O  0.727  0.973  0.415
O  0.390  0.681  0.503
O  0.273  0.473  0.085
O  0.181  0.997  0.610
O  0.227  0.527  0.585
S  0.757  0.875  0.517

=====

Entry 4:
NbSeSI2 | PBE-GGA | optimized geometry

Calculated values
Its space group is No. 2. The total magnetization comes out at 0.0 μB/f.u. The energy comes out at -47.61 eV per cell.

Lattice parameters (Å, degrees): 6.998 7.008 8.325 90.04 111.79 117.91
Positions (direct):
Se  0.860  0.947  0.708
I  0.763  0.425  0.781
S  0.196  0.229  0.891
Se  0.140  0.053  0.292
S  0.804  0.771  0.109
I  0.641  0.172  0.219
Nb  0.878  0.121  0.000
I  0.237  0.575  0.219
Nb  0.122  0.879  0.000
I  0.359  0.828  0.781

=====

Entry 5:
CsErTa | PBE-GGA | optimized geometry

Calculated values
Its space group is No. 216. The total magnetization comes out at 4.8 μB/f.u. The energy comes out at -11.13 eV per cell.

Lattice parameters (Å, degrees): 5.529 5.529 5.529 60.00 60.00 60.00
Positions (direct):
Cs  0.250  0.250  0.250
Er  0.000  0.000  0.000
Ta  0.750  0.750  0.750

=====

Entry 6:
TbPrCo2Sb4 | PBE-GGA | optimized geometry

Calculated values
Its space group is No. 99. The total magnetization comes out at 1.6 μB/f.u. The energy comes out at -45.05 eV per cell.

Lattice parameters (Å, degrees): 4.345 4.345 9.729 90.00 90.00 90.00
Last column: magnetic moment on the atom in μB.
Positions (direct):
Tb  0.500  0.500  0.261  -0.01
Co  0.500  0.000  0.494  0.81
Sb  0.000  0.000  0.360  0.00
Sb  0.500  0.000  0.008  0.00
Sb  0.000  0.500  0.008  0.00
Sb  0.500  0.500  0.631  0.00
Co  0.000  0.500  0.494  0.81
Pr  0.000  0.000  0.746  0.00

=====

Entry 7:
Pa2W | PBE-GGA | optimized geometry

Calculated values
The formation energy comes out at 2.3698 eV per atom. Its space group is No. 227. The total magnetization comes out at 1.1 μB/f.u.

Lattice parameters (Å, degrees): 8.412 8.412 8.412 60.00 60.00 60.00
Last column: magnetic moment on the atom in μB.
Positions (direct):
Pa  0.375  0.375  0.375  0.39
W  0.500  0.500  0.500  -0.04
Pa  0.375  0.875  0.375  0.46
Pa  0.375  0.375  0.875  0.38
W  0.250  0.250  0.250  -0.04
Pa  0.875  0.375  0.375  0.77

=====

Entry 8:
Pr3NdPt8 | PBE-GGA | optimized geometry

Calculated values
The formation energy comes out at -1.0312 eV per atom. Its space group is No. 160. The total magnetization comes out at 0.0 μB/f.u.

Lattice parameters (Å, degrees): 9.565 9.565 9.565 33.54 33.54 33.54
Positions (direct):
Pt  0.438  0.938  0.938
Pt  0.938  0.938  0.438
Pt  0.437  0.937  0.437
Pr  0.000  0.000  0.000
Pt  0.937  0.437  0.437
Pr  0.500  0.500  0.500
Pt  0.437  0.437  0.937
Pt  0.188  0.188  0.188
Nd  0.875  0.875  0.875
Pt  0.688  0.688  0.688
Pr  0.375  0.375  0.375
Pt  0.938  0.438  0.938

=====

Entry 9:
ScNbNiSb | PBE-GGA | optimized geometry

Calculated values
Its space group is No. 216. The total magnetization comes out at 1.1 μB/f.u. The energy comes out at -26.10 eV per cell.

Lattice parameters (Å, degrees): 4.639 4.639 4.639 60.00 60.00 60.00
Positions (direct):
Sc  0.500  0.500  0.500
Sb  0.000  0.000  0.000
Ni  0.750  0.750  0.750
Nb  0.250  0.250  0.250

=====

Entry 10:
TbGd2Cd | PBE-GGA | optimized geometry

Calculated values
The formation energy comes out at -0.1052 eV per atom. Its space group is No. 63. The total magnetization comes out at 0.2 μB/f.u.

Lattice parameters (Å, degrees): 6.956 6.956 5.488 90.00 90.00 120.03
Last column: magnetic moment on the atom in μB.
Positions (direct):
Tb  0.328  0.672  0.250  0.05
Gd  0.328  0.155  0.250  0.05
Cd  0.833  0.167  0.250  0.00
Gd  0.672  0.845  0.750  0.05
Tb  0.672  0.328  0.750  0.05
Gd  0.155  0.328  0.750  0.05
Gd  0.845  0.672  0.250  0.05
Cd  0.167  0.833  0.750  0.00

=====

Entry 11:
TbHoGaTe3 | PBE-GGA | optimized geometry

Calculated values
Its space group is No. 63. The total magnetization comes out at 0.0 μB/f.u. The energy comes out at -54.81 eV per cell.

Lattice parameters (Å, degrees): 7.965 7.965 10.416 90.00 90.00 149.91
Positions (direct):
Ho  0.500  0.500  0.000
Te  0.847  0.153  0.956
Te  0.624  0.376  0.750
Ga  0.977  0.023  0.750
Te  0.153  0.847  0.044
Te  0.153  0.847  0.456
Te  0.847  0.153  0.544
Te  0.376  0.624  0.250
Tb  0.278  0.722  0.750
Ho  0.500  0.500  0.500
Ga  0.023  0.977  0.250
Tb  0.722  0.278  0.250

=====

Entry 12:
TeMoS | PBE-GGA | optimized geometry

Calculated values
Its space group is No. 186. The total magnetization comes out at 0.0 μB/f.u. The energy comes out at -39.32 eV per cell.

Lattice parameters (Å, degrees): 3.363 3.363 13.376 90.00 90.00 120.00
Positions (direct):
Te  0.667  0.333  0.382
S  0.667  0.333  0.129
Mo  0.667  0.333  0.739
Te  0.333  0.667  0.882
S  0.333  0.667  0.629
Mo  0.333  0.667  0.239